1.
Here is an optimized crystal structure of CrTcPt4 from Alexandria via LeMat-Bulk. Energies are from PBE-GGA.

Results
E_form ... 0.2183 eV per atom
VASP energy ... -7.140 eV/atom
D(E_F) ... 0.86 states/eV per atom
Size of the total moment ... 0.72 Bohr magnetons per cell

Cell: 5.223 5.223 5.223 Å, 60.00 60.00 60.00°
Site moments in Bohr magnetons follow the coordinates.
Sites, in units of the cell vectors:
Tc1 0.750 0.750 0.750  -2.64
Pt1 0.375 0.375 0.875  -0.08
Pt2 0.375 0.875 0.375  -0.08
Cr1 0.000 0.000 0.000  3.54
Pt3 0.375 0.375 0.375  -0.08
Pt4 0.875 0.375 0.375  -0.08

2.
Here is an optimized crystal structure of TlAg3S from Alexandria via LeMat-Bulk. Energies are from PBE-GGA.

Results
Offset from the most stable computed form ... 0.00 kJ/mol of atoms
VASP energy ... -2.790 eV/atom
Uncorrected formation energy ... 5.058 kcal/mol of atoms
D(E_F) ... 0.39 states/eV per atom
Size of the total moment ... 0.00 Bohr magnetons per cell

Cell: 4.968 4.968 4.968 Å, 90.00 90.00 90.00°
Sites, in units of the cell vectors:
Ag1 0.500 0.000 0.000
Tl1 0.500 0.500 0.500
Ag2 0.000 0.000 0.500
S1 0.000 0.000 0.000
Ag3 0.000 0.500 0.000

3.
Here is an optimized crystal structure of Y2GaRh from Alexandria via LeMat-Bulk. Energies are from PBE-GGA.

Results
E_form ... -0.7264 eV per atom
VASP energy ... -6.553 eV/atom
D(E_F) ... 0.58 states/eV per atom
Size of the total moment ... 0.00 Bohr magnetons per cell

Cell: 3.538 3.538 6.950 Å, 90.00 90.00 90.00°
Sites, in units of the cell vectors:
Y1 0.000 0.000 0.236
Y2 0.000 0.000 0.764
Ga1 0.500 0.500 0.500
Rh1 0.500 0.500 0.000

4.
Here is an optimized crystal structure of LiRuRh2 from Alexandria via LeMat-Bulk. Energies are from PBE-GGA.

Results
E_form ... 0.1915 eV per atom
Offset from the most stable computed form ... 19.70 kJ/mol of atoms
VASP energy ... -6.282 eV/atom
D(E_F) ... 1.42 states/eV per atom
Size of the total moment ... 0.00 Bohr magnetons per cell

Cell: 2.666 2.666 9.056 Å, 90.00 90.00 118.39°
Sites, in units of the cell vectors:
Rh1 0.000 0.000 0.996
Li1 0.500 0.500 0.754
Ru1 0.000 0.000 0.499
Rh2 0.500 0.500 0.252

5.
Here is an optimized crystal structure of Pm12MgIr6 from Alexandria via LeMat-Bulk. Energies are from PBE-GGA.

Results
E_form ... -0.4502 eV per atom
VASP energy ... -6.333 eV/atom
D(E_F) ... 0.81 states/eV per atom
Size of the total moment ... 0.00 Bohr magnetons per cell

Cell: 8.903 8.903 8.903 Å, 108.84 108.84 108.84°
Sites, in units of the cell vectors:
Pm1 0.544 0.847 0.599
Pm2 0.850 0.335 0.035
Ir1 0.207 0.625 0.279
Pm3 0.335 0.035 0.850
Pm4 0.599 0.544 0.847
Ir2 0.375 0.721 0.793
Pm5 0.401 0.456 0.153
Pm6 0.153 0.401 0.456
Ir3 0.279 0.207 0.625
Pm7 0.847 0.599 0.544
Pm8 0.665 0.965 0.150
Pm9 0.965 0.150 0.665
Mg1 0.000 0.000 0.000
Pm10 0.150 0.665 0.965
Ir4 0.793 0.375 0.721
Ir5 0.721 0.793 0.375
Ir6 0.625 0.279 0.207
Pm11 0.456 0.153 0.401
Pm12 0.035 0.850 0.335

6.
Here is an optimized crystal structure of NbZnGe2 from Alexandria via LeMat-Bulk. Energies are from PBE-GGA.

Results
E_form ... 0.2723 eV per atom
VASP energy ... -4.872 eV/atom
D(E_F) ... 1.22 states/eV per atom
Size of the total moment ... 0.00 Bohr magnetons per cell

Cell: 7.132 7.132 5.762 Å, 51.77 51.77 90.00°
Sites, in units of the cell vectors:
Ge1 0.375 0.393 0.750
Ge2 0.875 0.857 0.750
Ge3 0.607 0.125 0.250
Zn1 0.250 0.750 0.500
Ge4 0.143 0.625 0.250
Zn2 0.500 0.500 0.000
Nb1 0.750 0.250 0.500
Nb2 0.000 0.000 0.000

7.
Here is an optimized crystal structure of SrHg2Rh from Alexandria via LeMat-Bulk. Energies are from PBE-GGA.

Results
E_form ... -0.2492 eV per atom
VASP energy ... -2.658 eV/atom
D(E_F) ... 0.45 states/eV per atom
Size of the total moment ... 0.00 Bohr magnetons per cell

Cell: 6.011 6.011 6.011 Å, 46.48 46.48 46.48°
Sites, in units of the cell vectors:
Rh1 0.565 0.565 0.565
Hg1 0.967 0.967 0.967
Hg2 0.211 0.211 0.211
Sr1 0.757 0.757 0.757

8.
Here is an optimized crystal structure of ZrCu2I from Alexandria via LeMat-Bulk. Energies are from PBE-GGA.

Results
Offset from the most stable computed form ... 24.90 kJ/mol of atoms
VASP energy ... -3.996 eV/atom
Uncorrected formation energy ... 13.287 kcal/mol of atoms
D(E_F) ... 1.22 states/eV per atom
Size of the total moment ... 0.00 Bohr magnetons per cell

Cell: 4.794 4.794 4.794 Å, 60.00 60.00 60.00°
Sites, in units of the cell vectors:
Zr1 0.000 0.000 0.000
Cu1 0.250 0.250 0.250
Cu2 0.750 0.750 0.750
I1 0.500 0.500 0.500